(one)
5
Lattice="6.0868 0.0000 0.0000 0.0000 6.0868 0.0000 0.0000 0.0000 6.0868" Properties=species:S:1:pos:R:3 comment="PBE-GGA SrCa3Sb, optimized geometry" magnetic_moment_mub_per_atom=0.203 pbc="T T T"
Sr 0.0000 0.0000 0.0000
Ca 0.0000 3.0434 3.0434
Ca 3.0434 0.0000 3.0434
Ca 3.0434 3.0434 0.0000
Sb 3.0434 3.0434 3.0434

=====

(two)
5
Lattice="6.0960 0.0000 0.0000 0.0000 6.0960 0.0000 0.0000 0.0000 6.0960" Properties=species:S:1:pos:R:3 comment="PBE-GGA SrCa3Sb, optimized geometry" magnetic_moment_mub_per_atom=0.599 pbc="T T T"
Sr 0.0000 0.0000 0.0000
Ca 0.0000 0.0000 3.0480
Ca 0.0000 3.0480 0.0000
Ca 3.0480 0.0000 0.0000
Sb 3.0480 3.0480 3.0480

=====

Order from most stable to least stable according to the calculation: (one), (two)

=====

(one)
5
Lattice="5.1598 0.0000 0.0000 -2.5799 4.4685 0.0000 0.0000 0.0000 7.9780" Properties=species:S:1:pos:R:3 comment="PBE-GGA SrCa2Sb2, optimized geometry" magnetic_moment_mub_per_atom=0.000 pbc="T T T"
Sr 0.0000 0.0000 0.0000
Ca 0.0000 2.9790 5.1596
Ca 2.5799 1.4895 2.8184
Sb 0.0000 2.9790 1.8915
Sb 2.5799 1.4895 6.0865

=====

(two)
5
Lattice="-2.9630 2.9630 5.3584 2.9630 -2.9630 5.3584 2.9630 2.9630 -5.3584" Properties=species:S:1:pos:R:3 comment="PBE-GGA SrCa2Sb2, optimized geometry" magnetic_moment_mub_per_atom=0.000 pbc="T T T"
Sr 0.0000 0.0000 0.0000
Ca 0.0000 0.0000 3.5064
Ca 0.0000 0.0000 7.2104
Sb 2.9630 0.0000 2.6792
Sb 0.0000 2.9630 2.6792

=====

Order from most stable to least stable according to the calculation: (one), (two)

=====

(one)
5
Lattice="5.8298 0.0000 0.0000 0.0000 5.8298 0.0000 0.0000 0.0000 5.8298" Properties=species:S:1:pos:R:3 comment="PBE-GGA Ca3TaSb, optimized geometry" magnetic_moment_mub_per_atom=1.152 pbc="T T T"
Ca 0.0000 0.0000 2.9149
Ca 0.0000 2.9149 0.0000
Ca 2.9149 0.0000 0.0000
Ta 2.9149 2.9149 2.9149
Sb 0.0000 0.0000 0.0000

=====

(two)
5
Lattice="5.5354 0.0000 0.0000 0.0000 5.5354 0.0000 0.0000 0.0000 5.5354" Properties=species:S:1:pos:R:3 comment="PBE-GGA Ca3TaSb, optimized geometry" magnetic_moment_mub_per_atom=0.000 pbc="T T T"
Ca 0.0000 0.0000 2.7677
Ca 0.0000 2.7677 0.0000
Ca 2.7677 0.0000 0.0000
Ta 0.0000 0.0000 0.0000
Sb 2.7677 2.7677 2.7677

=====

Order from most stable to least stable according to the calculation: (one), (two)

=====

(one)
20
Lattice="13.1785 0.0000 0.0000 0.0000 6.2523 0.0000 0.0000 0.0000 6.0604" Properties=species:S:1:pos:R:3 comment="PBE-GGA CaTcSb3, optimized geometry" magnetic_moment_mub_per_atom=0.000 pbc="T T T"
Ca 2.5456 0.0574 1.5151
Ca 2.5456 3.0687 4.5453
Ca 10.6329 3.1835 1.5151
Ca 10.6329 6.1949 4.5453
Tc 5.2557 1.5631 0.0000
Tc 5.2557 1.5631 3.0302
Tc 7.9228 4.6892 0.0000
Tc 7.9228 4.6892 3.0302
Sb 0.0035 1.5631 0.0000
Sb 0.0035 1.5631 3.0302
Sb 13.1751 4.6892 0.0000
Sb 13.1751 4.6892 3.0302
Sb 3.8119 3.2579 1.5151
Sb 3.8119 6.1205 4.5453
Sb 5.7864 3.7821 4.5453
Sb 5.7864 5.5963 1.5151
Sb 7.3921 0.6560 4.5453
Sb 7.3921 2.4702 1.5151
Sb 9.3666 0.1317 1.5151
Sb 9.3666 2.9944 4.5453

=====

(two)
5
Lattice="5.2452 0.0000 0.0000 0.0000 5.2452 0.0000 0.0000 0.0000 5.2452" Properties=species:S:1:pos:R:3 comment="PBE-GGA CaTcSb3, optimized geometry" magnetic_moment_mub_per_atom=0.000 pbc="T T T"
Ca 0.0000 0.0000 0.0000
Tc 2.6226 2.6226 2.6226
Sb 0.0000 2.6226 2.6226
Sb 2.6226 0.0000 2.6226
Sb 2.6226 2.6226 0.0000

=====

Order from most stable to least stable according to the calculation: (one), (two)